Here is crystalline RbBa2HfAs at its relaxed geometry from the Alexandria database. Energies are from GGA-PBEsol.

Summary:
Energy relative to the elements   0.598 eV per atom
Space-group type   P4/mmm (123)
Total moment   3.9 μB/f.u.

Unit cell a=6.2660 b=6.2660 c=6.3276 alpha=90.00 beta=90.00 gamma=90.00
With the nearest neighbours (Å) after each atom.
Positions (direct):
Rb  0.0000  0.0000  0.0000  2 As 3.16
Ba  0.0000  0.5000  0.5000  2 As 3.13
Ba  0.5000  0.0000  0.5000  2 As 3.13
Hf  0.5000  0.5000  0.0000  4 Rb 4.43, 8 Ba 4.45
As  0.0000  0.0000  0.5000  4 Ba 3.13, 2 Rb 3.16

Here is crystalline CsIn2ClF at its relaxed geometry from the Alexandria database. Energies are from GGA-PBEsol.

Summary:
Uncorrected formation energy   -0.65 eV per atom
Space-group type   P4/mmm (123)
Total moment   0.0 μB/f.u.

Unit cell a=5.4315 b=5.4315 c=6.7192 alpha=90.00 beta=90.00 gamma=90.00
With the nearest neighbours (Å) after each atom.
Positions (direct):
Cs  0.0000  0.0000  0.0000  4 F 3.84
In  0.0000  0.5000  0.5000  2 Cl 2.72
In  0.5000  0.0000  0.5000  2 Cl 2.72
Cl  0.5000  0.5000  0.5000  4 In 2.72
F  0.5000  0.5000  0.0000  2 Cl 3.36

Here is crystalline AlMoPS2 at its relaxed geometry from the Alexandria database. Energies are from GGA-PBEsol.

Summary:
Uncorrected formation energy   0.67 eV per atom
Space-group type   P4/mmm (123)
Total moment   2.4 μB/f.u.

Unit cell a=4.4739 b=4.4739 c=4.5420 alpha=90.00 beta=90.00 gamma=90.00
With the nearest neighbours (Å) after each atom.
Positions (direct):
Al  0.0000  0.0000  0.0000  4 S 2.24, 2 P 2.27
Mo  0.5000  0.5000  0.5000  4 P 3.16, 8 S 3.19
P  0.0000  0.0000  0.5000  2 Al 2.27
S  0.0000  0.5000  0.0000  2 Al 2.24
S  0.5000  0.0000  0.0000  2 Al 2.24

Here is crystalline LiY2TiBr at its relaxed geometry from the Alexandria database. Energies are from GGA-PBEsol.

Summary:
Uncorrected formation energy   0.50 eV per atom
Space-group type   P4/mmm (123)
Total moment   3.0 μB/f.u.

Unit cell a=5.3726 b=5.3726 c=4.4215 alpha=90.00 beta=90.00 gamma=90.00
With the nearest neighbours (Å) after each atom.
Positions (direct):
Li  0.0000  0.0000  0.0000  2 Ti 2.21
Y  0.0000  0.5000  0.0000  2 Li 2.69
Y  0.5000  0.0000  0.0000  2 Li 2.69
Ti  0.0000  0.0000  0.5000  2 Li 2.21
Br  0.5000  0.5000  0.5000  8 Y 3.48, 4 Ti 3.80

Here is crystalline MgTe2Pt at its relaxed geometry from the Alexandria database. Energies are from GGA-PBEsol.

Summary:
Uncorrected formation energy   -0.23 eV per atom
Space-group type   Imm2 (44)
Total moment   0.0 μB/f.u.

Unit cell a=3.5818 b=4.1631 c=12.3186 alpha=90.00 beta=90.00 gamma=90.00
With the nearest neighbours (Å) after each atom.
Positions (direct):
Mg  0.0000  0.0000  0.0000  6 Te 2.92-3.07, 2 Pt 3.10
Mg  0.5000  0.5000  0.5000  6 Te 2.92-3.07, 2 Pt 3.10
Te  0.0000  0.0000  0.3881  2 Pt 2.87, 4 Mg 3.07
Te  0.0000  0.5000  0.1664  4 Pt 2.79, 2 Mg 2.92
Te  0.5000  0.0000  0.6664  4 Pt 2.79, 2 Mg 2.92
Te  0.5000  0.5000  0.8881  2 Pt 2.87, 4 Mg 3.07
Pt  0.0000  0.5000  0.7056  6 Te 2.79-2.87, 2 Mg 3.10
Pt  0.5000  0.0000  0.2056  6 Te 2.79-2.87, 2 Mg 3.10

Here is crystalline CoSe2Cl at its relaxed geometry from the Alexandria database. Energies are from GGA-PBEsol.

Summary:
Uncorrected formation energy   0.12 eV per atom
Distance to the lowest polymorph of the same formula   370 meV per atom
Space-group type   P4mm (99)
Total moment   0.0 μB/f.u.

Unit cell a=2.8409 b=2.8409 c=9.3796 alpha=90.00 beta=90.00 gamma=90.00
With the nearest neighbours (Å) after each atom.
Positions (direct):
Co  0.0000  0.0000  0.0000  4 Se 2.40, 4 Cl 2.59
Se  0.0000  0.0000  0.5407  4 Se 2.84
Se  0.5000  0.5000  0.8607  4 Co 2.40
Cl  0.5000  0.5000  0.1738  4 Co 2.59, 4 Cl 2.84

Here is crystalline TaBe2NiMo at its relaxed geometry from the Alexandria database. Energies are from GGA-PBEsol.

Summary:
Energy relative to the elements   1.940 eV per atom
Space-group type   P4/mmm (123)
Total moment   0.0 μB/f.u.

Unit cell a=4.3755 b=4.3755 c=4.5390 alpha=90.00 beta=90.00 gamma=90.00
With the nearest neighbours (Å) after each atom.
Positions (direct):
Ta  0.0000  0.0000  0.0000  4 Be 2.19, 2 Mo 2.27
Be  0.0000  0.5000  0.0000  2 Ta 2.19
Be  0.5000  0.0000  0.0000  2 Ta 2.19
Ni  0.5000  0.5000  0.5000  4 Mo 3.09, 8 Be 3.15
Mo  0.0000  0.0000  0.5000  2 Ta 2.27

Here is crystalline BeIrAu2 at its relaxed geometry from the Alexandria database. Energies are from GGA-PBEsol.

Summary:
Energy relative to the elements   -0.101 eV per atom
Space-group type   P4mm (99)
Total moment   0.0 μB/f.u.

Unit cell a=2.8245 b=2.8245 c=6.9876 alpha=90.00 beta=90.00 gamma=90.00
With the nearest neighbours (Å) after each atom.
Positions (direct):
Be  0.0000  0.0000  0.0000  4 Ir 2.33, 4 Au 2.57
Ir  0.5000  0.5000  0.1714  4 Be 2.33
Au  0.0000  0.0000  0.4625  8 Au 2.82-2.93, 4 Ir 2.85
Au  0.5000  0.5000  0.7686  4 Be 2.57, 1 Ir 2.81, 4 Au 2.82

Here is crystalline Rb at its relaxed geometry from the Alexandria database. Energies are from GGA-PBEsol.

Summary:
Distance to the lowest polymorph of the same formula   31 meV per atom
Energy relative to the elements   0.031 eV per atom
Space-group type   Fmmm (69)
Total moment   0.0 μB/f.u.

Unit cell a=4.9705 b=8.1154 c=17.1502 alpha=90.00 beta=90.00 gamma=90.00
With the nearest neighbours (Å) after each atom.
Positions (direct):
Rb  0.0000  0.0000  0.1313  9 Rb 4.50-4.97
Rb  0.0000  0.0000  0.8687  9 Rb 4.50-4.97
Rb  0.0000  0.5000  0.3687  9 Rb 4.50-4.97
Rb  0.0000  0.5000  0.6313  9 Rb 4.50-4.97
Rb  0.5000  0.0000  0.3687  9 Rb 4.50-4.97
Rb  0.5000  0.0000  0.6313  9 Rb 4.50-4.97
Rb  0.5000  0.5000  0.1313  9 Rb 4.50-4.97
Rb  0.5000  0.5000  0.8687  9 Rb 4.50-4.97

Here is crystalline NiHg2P at its relaxed geometry from the Alexandria database. Energies are from GGA-PBEsol.

Summary:
Energy relative to the elements   0.425 eV per atom
Space-group type   Cmmm (65)
Total moment   0.0 μB/f.u.

Unit cell a=5.6588 b=5.9675 c=3.9778 alpha=90.00 beta=90.00 gamma=90.00
With the nearest neighbours (Å) after each atom.
Positions (direct):
Ni  0.0000  0.0000  0.0000  4 P 2.83-2.98, 8 Hg 2.86
Ni  0.5000  0.5000  0.0000  4 P 2.83-2.98, 8 Hg 2.86
Hg  0.2500  0.2500  0.5000  4 Hg 2.83-2.98, 4 Ni 2.86, 4 P 2.86
Hg  0.2500  0.7500  0.5000  4 Hg 2.83-2.98, 4 P 2.86, 4 Ni 2.86
Hg  0.7500  0.2500  0.5000  4 Hg 2.83-2.98, 4 Ni 2.86, 4 P 2.86
Hg  0.7500  0.7500  0.5000  4 Hg 2.83-2.98, 4 Ni 2.86, 4 P 2.86
P  0.0000  0.5000  0.0000  4 Ni 2.83-2.98, 8 Hg 2.86
P  0.5000  0.0000  0.0000  4 Ni 2.83-2.98, 8 Hg 2.86

Here is crystalline Ce2CdPt2 at its relaxed geometry from the Alexandria database. Energies are from GGA-PBEsol.

Summary:
Energy relative to the elements   -0.857 eV per atom
Space-group type   P4/mbm (127)
Total moment   0.0 μB/f.u.

Unit cell a=7.7167 b=7.7167 c=3.6907 alpha=90.00 beta=90.00 gamma=90.00
With the nearest neighbours (Å) after each atom.
Positions (direct):
Ce  0.1700  0.3300  0.0000  6 Pt 2.84-2.99
Ce  0.3300  0.8300  0.0000  6 Pt 2.84-2.99
Ce  0.6700  0.1700  0.0000  6 Pt 2.84-2.99
Ce  0.8300  0.6700  0.0000  6 Pt 2.84-2.99
Cd  0.0000  0.0000  0.5000  4 Pt 3.02
Cd  0.5000  0.5000  0.5000  4 Pt 3.02
Pt  0.1323  0.6323  0.5000  6 Ce 2.84-2.99, 1 Pt 2.89, 2 Cd 3.02
Pt  0.3677  0.1323  0.5000  6 Ce 2.84-2.99, 1 Pt 2.89, 2 Cd 3.02
Pt  0.6323  0.8677  0.5000  6 Ce 2.84-2.99, 1 Pt 2.89, 2 Cd 3.02
Pt  0.8677  0.3677  0.5000  6 Ce 2.84-2.99, 1 Pt 2.89, 2 Cd 3.02

Here is crystalline Nb2CdCoO at its relaxed geometry from the Alexandria database. Energies are from GGA-PBEsol.

Summary:
Uncorrected formation energy   1.90 eV per atom
Space-group type   P4/mmm (123)
Total moment   1.7 μB/f.u.

Unit cell a=5.1011 b=5.1011 c=3.7771 alpha=90.00 beta=90.00 gamma=90.00
With the nearest neighbours (Å) after each atom.
Positions (direct):
Nb  0.0000  0.5000  0.0000  2 Cd 2.55
Nb  0.5000  0.0000  0.0000  2 Cd 2.55
Cd  0.0000  0.0000  0.0000  2 O 1.89
Co  0.5000  0.5000  0.5000  8 Nb 3.17
O  0.0000  0.0000  0.5000  2 Cd 1.89